First-principles (PBE) data for crystalline Sr5TbPb6 at its relaxed geometry, as listed in Alexandria via LeMat-Bulk.

Geometry as CIF:
```
data_Sr5TbPb6
_chemical_formula_sum 'Sr5 Tb1 Pb6'
_cell_length_a 9.704
_cell_length_b 9.704
_cell_length_c 6.031
_cell_angle_alpha 97.69
_cell_angle_beta 97.69
_cell_angle_gamma 46.04
_space_group_name_H-M_alt 'P 1'
_space_group_IT_number 1
_space_group_name_Hall 'P 1'
loop_
_atom_site_label
_atom_site_fract_x
_atom_site_fract_y
_atom_site_fract_z
Sr1 0.000 0.000 0.000
Sr2 0.165 0.165 0.679
Sr3 0.320 0.320 0.297
Sr4 0.680 0.680 0.703
Sr5 0.835 0.835 0.321
Tb1 0.500 0.500 0.000
Pb1 0.116 0.574 0.810
Pb2 0.279 0.721 0.500
Pb3 0.426 0.884 0.190
Pb4 0.574 0.116 0.810
Pb5 0.721 0.279 0.500
Pb6 0.884 0.426 0.190
```

## Properties
**ΔE_f**: -0.5146 eV per atom
**SG**: C2/m, No. 12
**N(E_F)**: 0.3593 states/eV/atom